# Li3MoO4 PBE with a Hubbard U optimized geometry
data_Li3MoO4
_chemical_formula_sum 'Li6 Mo2 O8'
_symmetry_space_group_name_H-M 'I 4/m m m'
_symmetry_Int_Tables_number 139
_symmetry_space_group_name_Hall '-I 4 2'
_cell_length_a 4.176
_cell_length_b 4.176
_cell_length_c 8.527
_cell_angle_alpha 90.00
_cell_angle_beta 90.00
_cell_angle_gamma 90.00
loop_
_atom_site_label
_atom_site_fract_x
_atom_site_fract_y
_atom_site_fract_z
Li1 0.000 0.000 0.000
Li2 0.000 0.500 0.250
Mo1 0.000 0.000 0.500
O1 0.000 0.000 0.278
O2 0.000 0.500 0.000
# total DFT energy (no corrections): -48.1 eV/f.u.
# distance to the lowest polymorph of the same formula: 14.1 meV/atom